Record 1
! Nd8Ho3Tm2 | the Alexandria database | PBE | relaxed; values from VASP
&SYSTEM
  ibrav = 0, nat = 13, ntyp = 3
/
ATOMIC_SPECIES
Nd 144.24 Nd.upf
Ho 164.93 Ho.upf
Tm 168.93 Tm.upf
CELL_PARAMETERS angstrom
7.7454 0.0000 0.0000
0.0000 5.7391 0.0000
-3.8657 0.0000 10.1364
ATOMIC_POSITIONS angstrom
Nd -0.3494 0.0000 2.9098
Nd -1.9305 2.8695 8.5943
Nd -0.3441 0.0000 7.2284
Nd 1.9377 2.8695 2.4126
Nd 1.9420 2.8695 7.7238
Nd 4.2239 0.0000 2.9081
Nd 5.8103 2.8695 1.5421
Nd 4.2291 0.0000 7.2267
Ho -0.2766 2.8695 5.0685
Ho 1.9399 0.0000 5.0682
Ho 4.1563 2.8695 5.0680
Tm 1.9392 0.0000 0.2128
Tm 1.9406 0.0000 9.9237
! Symmetry ... P2/m
! Density of states at the Fermi level ... 1.384 states/eV/atom
! Size of the total moment ... 0.00 μB per formula unit
! Total DFT energy (no corrections) ... -4.476 eV per atom
! ΔH_f (0 K) ... 0.203 eV per atom

Record 2
! NdHo7Tm5 | the Alexandria database | PBE | relaxed; values from VASP
&SYSTEM
  ibrav = 0, nat = 13, ntyp = 3
/
ATOMIC_SPECIES
Nd 144.24 Nd.upf
Ho 164.93 Ho.upf
Tm 168.93 Tm.upf
CELL_PARAMETERS angstrom
-3.3189 5.5291 5.7242
3.3189 -5.5291 5.7242
3.3189 5.5291 -5.7242
ATOMIC_POSITIONS angstrom
Nd 0.0000 0.0000 0.0000
Ho 3.3189 1.8902 0.6034
Ho 0.0000 0.0000 3.4741
Ho 0.0000 3.6232 0.5962
Ho 0.0000 0.0000 6.9910
Ho 0.0000 7.4350 0.5962
Ho 0.0000 5.5291 3.4201
Ho 0.0000 3.6388 6.3276
Tm 1.5595 2.5438 -2.2710
Tm 5.0783 2.5438 -2.2710
Tm 3.3189 0.0000 3.4818
Tm -1.7594 2.9853 3.4532
Tm 1.7594 2.9853 3.4532
! Symmetry ... Imm2
! Density of states at the Fermi level ... 2.065 states/eV/atom
! Size of the total moment ... 0.01 μB per formula unit
! Total DFT energy (no corrections) ... -4.299 eV per atom
! ΔH_f (0 K) ... 0.253 eV per atom

Record 3
! Nd4Ho2Tm5 | the Alexandria database | PBE | relaxed; values from VASP
&SYSTEM
  ibrav = 0, nat = 11, ntyp = 3
/
ATOMIC_SPECIES
Nd 144.24 Nd.upf
Ho 164.93 Ho.upf
Tm 168.93 Tm.upf
CELL_PARAMETERS angstrom
11.5261 -1.7875 0.0000
11.5261 1.7875 0.0000
-0.1333 0.0000 8.6229
ATOMIC_POSITIONS angstrom
Nd 1.0115 0.0000 3.1934
Nd 8.3737 0.0000 7.6907
Nd 14.5451 0.0000 0.9321
Nd 21.9074 0.0000 5.4294
Ho 4.9268 0.0000 7.1799
Ho 17.9921 0.0000 1.4430
Tm 0.0000 0.0000 0.0000
Tm 4.3440 0.0000 3.7712
Tm 9.3860 0.0000 2.4941
Tm 13.5329 0.0000 6.1287
Tm 18.5748 0.0000 4.8517
! Symmetry ... C2/m
! Density of states at the Fermi level ... 1.414 states/eV/atom
! Size of the total moment ... 0.00 μB per formula unit
! Total DFT energy (no corrections) ... -4.555 eV per atom
! E above lowest polymorph ... 0.0 kJ per mole of atoms
! ΔH_f (0 K) ... 0.044 eV per atom

- Which of these has the highest total DFT energy (no corrections)?
  NdHo7Tm5

Repeat the third record exactly.
! Nd4Ho2Tm5 | the Alexandria database | PBE | relaxed; values from VASP
&SYSTEM
  ibrav = 0, nat = 11, ntyp = 3
/
ATOMIC_SPECIES
Nd 144.24 Nd.upf
Ho 164.93 Ho.upf
Tm 168.93 Tm.upf
CELL_PARAMETERS angstrom
11.5261 -1.7875 0.0000
11.5261 1.7875 0.0000
-0.1333 0.0000 8.6229
ATOMIC_POSITIONS angstrom
Nd 1.0115 0.0000 3.1934
Nd 8.3737 0.0000 7.6907
Nd 14.5451 0.0000 0.9321
Nd 21.9074 0.0000 5.4294
Ho 4.9268 0.0000 7.1799
Ho 17.9921 0.0000 1.4430
Tm 0.0000 0.0000 0.0000
Tm 4.3440 0.0000 3.7712
Tm 9.3860 0.0000 2.4941
Tm 13.5329 0.0000 6.1287
Tm 18.5748 0.0000 4.8517
! Symmetry ... C2/m
! Density of states at the Fermi level ... 1.414 states/eV/atom
! Size of the total moment ... 0.00 μB per formula unit
! Total DFT energy (no corrections) ... -4.555 eV per atom
! E above lowest polymorph ... 0.0 kJ per mole of atoms
! ΔH_f (0 K) ... 0.044 eV per atom